Density functional theory data (PBE) for a relaxed K3BiSb crystal.

Values from the calculation:
SG = Ima2 (46)
Energy relative to the elements, uncorrected = -0.270 eV/atom
Excess energy over the best structure of this formula in the dataset = 91 meV/atom

a = 8.8441 Å, b = 8.8441 Å, c = 8.8441 Å
α = 90.13°, β = 108.74°, γ = 132.56°
Positions (direct):
Bi  0.6298  0.1548  0.9750
K  0.8289  0.1738  0.6855
Bi  0.1798  0.6548  0.0250
K  0.4883  0.1435  0.3145
Sb  0.6382  0.8425  0.2957
K  0.1722  0.3437  0.3284
K  0.8289  0.6435  0.1551
K  0.4883  0.6738  0.8449
Sb  0.5468  0.3425  0.7043
K  0.0153  0.8437  0.6716

---

Density functional theory data (PBE) for a relaxed KBi2Sb2 crystal.

Values from the calculation:
SG = P4/mbm (127)
Energy relative to the elements, uncorrected = -0.031 eV/atom
Excess energy over the best structure of this formula in the dataset = 105 meV/atom

a = 8.9115 Å, b = 8.9115 Å, c = 4.1912 Å
α = 90.00°, β = 90.00°, γ = 90.00°
Positions (direct):
Sb  0.8558  0.6442  0.0000
Bi  0.8530  0.3530  0.5000
K  0.5000  0.5000  0.0000
Bi  0.3530  0.1470  0.5000
Bi  0.1470  0.6470  0.5000
Sb  0.3558  0.8558  0.0000
Sb  0.6442  0.1442  0.0000
K  0.0000  0.0000  0.0000
Sb  0.1442  0.3558  0.0000
Bi  0.6470  0.8530  0.5000

---

Density functional theory data (PBE) for a relaxed KBi2Sb crystal.

Values from the calculation:
SG = R-3m (166)
Energy relative to the elements, uncorrected = -0.045 eV/atom

a = 5.4162 Å, b = 5.4162 Å, c = 6.8688 Å
α = 66.78°, β = 66.78°, γ = 60.00°
Positions (direct):
Sb  0.5000  0.5000  0.5000
Bi  0.2068  0.2068  0.3795
K  0.0000  0.0000  0.0000
Bi  0.7932  0.7932  0.6205

---

Density functional theory data (PBE) for a relaxed KBi3Sb crystal.

Values from the calculation:
SG = Pm (6)
Energy relative to the elements, uncorrected = -0.055 eV/atom
Excess energy over the best structure of this formula in the dataset = 0 meV/atom

a = 5.7333 Å, b = 9.5801 Å, c = 7.1726 Å
α = 90.00°, β = 90.00°, γ = 89.92°
Positions (direct):
Sb  0.1858  0.6792  0.7007
Bi  0.9074  0.9407  0.7007
Sb  0.6847  0.6731  0.2008
Bi  0.4067  0.4119  0.2008
Bi  0.9293  0.4496  0.4483
Bi  0.4297  0.9034  0.4540
K  0.9266  0.0937  0.2007
Bi  0.9293  0.4496  0.9533
K  0.4270  0.2593  0.7008
Bi  0.4297  0.9034  0.9475

---

DOS at the Fermi energy? In order: 0.23; 0.70; 0.62; 0.32 states/eV/atom.